A plane-wave DFT calculation with GGA-PBE was carried out for a relaxed structure of Sr4Sn2Bi5.

a b c (Å): 4.741 8.161 10.136
angles (deg): 83.98 90.00 90.00
Atoms (fractional coordinates):
Sn1 0.000 0.918 0.634
Sn2 0.000 0.082 0.366
Bi1 0.000 0.456 0.329
Bi2 0.000 0.854 0.139
Bi3 0.000 0.500 0.000
Bi4 0.000 0.146 0.861
Bi5 0.000 0.544 0.671
Sr1 0.500 0.218 0.124
Sr2 0.500 0.247 0.585
Sr3 0.500 0.753 0.415
Sr4 0.500 0.782 0.876

Output
The density of states at the Fermi level is 7.0 states/eV/cell. The value obtained for the formation energy is -0.58 eV per atom. As for the crystal system: monoclinic. The total moment comes out at 0.0 Bohr magnetons per cell.